1.
DFT (GGA-PBE) results for a relaxed structure of KP2Pd3.

Output
The calculated volume is 113.8 Å³/f.u. The energy of formation from the pure elements comes out at -0.4433 eV per atom. For the raw total energy, the calculation gives -5.026 eV/atom.

abc: 10.9447 7.4719 5.5662
angles: 90.00 90.00 90.00
Closest atoms and distances in Å follow each position.
Space group Cmcm (No. 63)
Symmetry-distinct sites (fractional):
K  0.0000  0.1280  0.2500  5 Pd 3.20-3.57, 2 K 3.38
P  0.1818  0.5000  0.0000  6 Pd 2.39-2.56
Pd  0.0000  0.4444  0.7500  4 P 2.46
Pd  0.2241  0.2199  0.7500  4 P 2.39-2.56



2.
DFT (GGA-PBE) results for a relaxed structure of KP3Pd.

Output
The calculation puts the relative energy among the computed polymorphs at 8.72 eV per formula unit. The calculated volume is 136.0 Å³/f.u. The energy of formation from the pure elements comes out at 2.2181 eV per atom. For the raw total energy, the calculation gives -2.286 eV/atom.

abc: 5.1431 5.1431 5.1431
angles: 90.00 90.00 90.00
Closest atoms and distances in Å follow each position.
Space group Pm-3m (No. 221)
Symmetry-distinct sites (fractional):
K  0.0000  0.0000  0.0000  6 P 2.57
P  0.0000  0.0000  0.5000  2 K 2.57
Pd  0.5000  0.5000  0.5000  12 P 3.64



3.
DFT (GGA-PBE) results for a relaxed structure of KPPd2.

Output
The calculated volume is 112.8 Å³/f.u. The energy of formation from the pure elements comes out at -0.2016 eV per atom. For the raw total energy, the calculation gives -4.425 eV/atom.

abc: 7.1864 7.9401 7.9059
angles: 90.00 90.00 90.00
Closest atoms and distances in Å follow each position.
Space group Ama2 (No. 40)
Symmetry-distinct sites (fractional):
K  0.2500  0.2496  0.0000  4 Pd 3.15-3.16, 4 P 3.33
P  0.0000  0.0000  0.2505  4 Pd 2.31
Pd  0.2500  0.1292  0.3803  2 P 2.31
Pd  0.2500  0.3709  0.6205  2 P 2.31